1.
This record from Alexandria via LeMat-Bulk describes a relaxed structure of PmPd2I6. The functional is PBE.

Results
**Space-group type**: C2/c (15)
**Volume**: 43.491 A^3/atom
**Energy relative to the elements, uncorrected**: -61.7 kJ/mol of atoms
**Size of the total moment**: 0.0 μB/f.u.

Unit cell a=7.553 b=10.337 c=10.337 alpha=94.52 beta=80.98 gamma=80.98
Positions (direct):
I 0.285 0.365 0.961
Pd 0.448 0.826 0.683
I 0.785 0.961 0.365
I 0.344 0.014 0.208
I 0.215 0.039 0.635
I 0.788 0.330 0.382
I 0.212 0.670 0.618
I 0.712 0.618 0.670
Pm 0.250 0.079 0.921
Pm 0.750 0.921 0.079
Pd 0.052 0.317 0.174
I 0.288 0.382 0.330
Pd 0.948 0.683 0.826
I 0.156 0.792 0.986
I 0.844 0.208 0.014
Pd 0.552 0.174 0.317
I 0.656 0.986 0.792
I 0.715 0.635 0.039

=====

2.
This record from Alexandria via LeMat-Bulk describes a relaxed structure of KAu4F12. The functional is PBE.

Results
**Space-group type**: Im-3m (229)
**Volume**: 18.379 A^3/atom
**Energy relative to the elements, uncorrected**: -113.7 kJ/mol of atoms
**Size of the total moment**: 0.0 μB/f.u.

Unit cell a=7.404 b=7.404 c=7.404 alpha=109.47 beta=109.47 gamma=109.47
Positions (direct):
F 0.000 0.759 0.241
F 0.759 0.759 0.518
F 0.759 0.518 0.759
Au 0.500 0.000 0.000
F 0.241 0.000 0.759
F 0.241 0.759 0.000
F 0.759 0.241 0.000
F 0.759 0.000 0.241
F 0.241 0.241 0.482
Au 0.000 0.000 0.500
K 0.000 0.000 0.000
Au 0.000 0.500 0.000
F 0.241 0.482 0.241
F 0.518 0.759 0.759
F 0.482 0.241 0.241
Au 0.500 0.500 0.500
F 0.000 0.241 0.759

=====

3.
This record from Alexandria via LeMat-Bulk describes a relaxed structure of Ca3Pa2TaP6. The functional is PBE.

Results
**Space-group type**: C2/m (12)
**Volume**: 22.100 A^3/atom
**Energy of formation**: -1.13 eV/atom
**Size of the total moment**: 0.0 μB/f.u.

Unit cell a=6.803 b=6.803 c=7.003 alpha=99.38 beta=99.38 gamma=120.06
Positions (direct):
Pa 0.666 0.334 0.000
Ta 0.000 0.000 0.000
P 0.242 0.242 0.773
Pa 0.334 0.666 0.000
Ca 0.830 0.170 0.500
P 0.925 0.607 0.775
P 0.607 0.925 0.775
Ca 0.170 0.830 0.500
P 0.758 0.758 0.227
P 0.393 0.075 0.225
P 0.075 0.393 0.225
Ca 0.500 0.500 0.500

=====

Look up the volume of the third one.
22.100 A^3/atom

=====

What is the formula in the second record?
KAu4F12